(1)
DFT (PBE-GGA) results for V2PtCl8 after structural relaxation.

Cell: 14.037 8.013 7.326 Å, 90.00 107.90 90.00°
Space group C2/m (No. 12)
Asymmetric unit:
V  0.210  0.000  0.294 x4
Pt  0.000  0.000  0.000 x2
Cl  0.127  0.201  0.077 x8
Cl  0.130  0.500  0.660 x4
Cl  0.172  0.000  0.561 x4

Calculated values
As for the energy relative to the elements, uncorrected: -85.7 kJ per mole of atoms. For the total magnetization, the calculation gives 8.003 μB per cell. Its total DFT energy (no corrections) is -48.83 eV/f.u.


(2)
DFT (PBE-GGA) results for Pd2PbI2 after structural relaxation.

Cell: 8.449 8.449 3.554 Å, 90.00 90.00 90.00°
Space group P4/mbm (No. 127)
Asymmetric unit:
Pd  0.129  0.371  0.000 x4
Pb  0.000  0.000  0.500 x2
I  0.166  0.666  0.500 x4

Calculated values
As for the energy relative to the elements, uncorrected: 17.5 kJ per mole of atoms. For the total magnetization, the calculation gives 0.000 μB per cell. Its total DFT energy (no corrections) is -16.29 eV/f.u.


(3)
DFT (PBE-GGA) results for Pm6CdHg5 after structural relaxation.

Cell: 6.947 11.414 9.335 Å, 90.00 102.19 90.00°
Space group C2/m (No. 12)
Asymmetric unit:
Pm  0.215  0.000  0.220 x4
Pm  0.233  0.172  0.731 x8
Cd  0.000  0.500  0.000 x2
Hg  0.000  0.000  0.500 x2
Hg  0.000  0.205  0.000 x4
Hg  0.000  0.367  0.500 x4

Calculated values
For the total magnetization, the calculation gives 0.003 μB per cell. Its total DFT energy (no corrections) is -34.40 eV/f.u.


(4)
DFT (PBE-GGA) results for Mn2VIn2 after structural relaxation.

Cell: 6.228 6.228 4.332 Å, 90.00 90.00 90.00°
Space group P4/mbm (No. 127)
Asymmetric unit:
Mn  0.139  0.361  0.000 x4
V  0.000  0.000  0.000 x2
In  0.172  0.672  0.500 x4

Calculated values
For the total magnetization, the calculation gives 5.653 μB per cell. Its total DFT energy (no corrections) is -31.43 eV/f.u.


(5)
DFT (PBE-GGA) results for NaTl2Cu2F6 after structural relaxation.

Cell: 11.354 5.999 6.742 Å, 90.00 124.08 90.00°
Space group C2/m (No. 12)
Asymmetric unit:
Na  0.000  0.000  0.000 x2
Tl  0.226  0.000  0.677 x4
Cu  0.073  0.500  0.747 x4
F  0.055  0.265  0.293 x8
F  0.241  0.000  0.168 x4

Calculated values
As for the energy relative to the elements, uncorrected: -166.7 kJ per mole of atoms. For the total magnetization, the calculation gives 2.001 μB per cell. Its total DFT energy (no corrections) is -44.48 eV/f.u.


(6)
DFT (PBE-GGA) results for KTl2Au after structural relaxation.

Cell: 4.809 4.491 6.550 Å, 90.00 111.18 90.00°
Space group P2/m (No. 10)
Asymmetric unit:
K  0.000  0.000  0.000 x1
Tl  0.321  0.500  0.705 x2
Au  0.500  0.000  0.500 x1

Calculated values
For the total magnetization, the calculation gives 0.000 μB per cell. Its total DFT energy (no corrections) is -9.55 eV/f.u.